Record 1
# GGA-PBE Re2OsRh, optimized geometry
# Calculated formation energy: 0.013 eV per atom
# Energy above the lowest structure with this stoichiometry: 58 kJ/mol of formula units
data_Re2OsRh
_symmetry_space_group_name_H-M 'C 1 m 1'
_symmetry_Int_Tables_number 8
_symmetry_space_group_name_Hall 'C -2y'
_cell_length_a 9.102
_cell_length_b 2.744
_cell_length_c 4.764
_cell_angle_alpha 90.00
_cell_angle_beta 100.25
_cell_angle_gamma 90.00
loop_
_atom_site_label
_atom_site_type_symbol
_atom_site_fract_x
_atom_site_fract_y
_atom_site_fract_z
Re1 Re 0.000 0.000 0.000
Re2 Re 0.249 0.500 0.264
Os1 Os 0.493 0.000 0.487
Rh1 Rh 0.249 0.000 0.757

***

Record 2
# GGA-PBE Ti4ZnRu3, optimized geometry
# Calculated formation energy: -0.600 eV per atom
data_Ti4ZnRu3
_symmetry_space_group_name_H-M 'P m m m'
_symmetry_Int_Tables_number 47
_symmetry_space_group_name_Hall '-P 2 2'
_cell_length_a 3.094
_cell_length_b 4.377
_cell_length_c 8.770
_cell_angle_alpha 90.00
_cell_angle_beta 90.00
_cell_angle_gamma 90.00
loop_
_atom_site_label
_atom_site_type_symbol
_atom_site_fract_x
_atom_site_fract_y
_atom_site_fract_z
Ti1 Ti 0.000 0.000 0.000
Ti2 Ti 0.000 0.000 0.500
Ti3 Ti 0.000 0.500 0.246
Zn1 Zn 0.500 0.500 0.500
Ru1 Ru 0.500 0.000 0.251
Ru2 Ru 0.500 0.500 0.000

***

Record 3
# GGA-PBE ErPuSn2, optimized geometry
# Calculated formation energy: -0.452 eV per atom
data_ErPuSn2
_symmetry_space_group_name_H-M 'P 4/m m m'
_symmetry_Int_Tables_number 123
_symmetry_space_group_name_Hall '-P 4 2'
_cell_length_a 3.949
_cell_length_b 3.949
_cell_length_c 6.786
_cell_angle_alpha 90.00
_cell_angle_beta 90.00
_cell_angle_gamma 90.00
loop_
_atom_site_label
_atom_site_type_symbol
_atom_site_fract_x
_atom_site_fract_y
_atom_site_fract_z
Er1 Er 0.000 0.000 0.000
Pu1 Pu 0.000 0.000 0.500
Sn1 Sn 0.500 0.500 0.237

***

Record 4
# GGA-PBE Ac5Nd2Ho2, optimized geometry
# Calculated formation energy: 0.053 eV per atom
data_Ac5Nd2Ho2
_symmetry_space_group_name_H-M 'P -1'
_symmetry_Int_Tables_number 2
_symmetry_space_group_name_Hall '-P 1'
_cell_length_a 6.589
_cell_length_b 6.632
_cell_length_c 8.573
_cell_angle_alpha 82.48
_cell_angle_beta 74.80
_cell_angle_gamma 80.30
loop_
_atom_site_label
_atom_site_type_symbol
_atom_site_fract_x
_atom_site_fract_y
_atom_site_fract_z
Ac1 Ac 0.000 0.000 0.000
Ac2 Ac 0.324 0.665 0.667
Ac3 Ac 0.437 0.892 0.227
Nd1 Nd 0.224 0.450 0.116
Ho1 Ho 0.108 0.230 0.551